1.
The following is a GGA-PBE calculation of a relaxed UPdRuRh crystal, from Alexandria via LeMat-Bulk.

Results
- energy relative to the lowest polymorph listed for this composition (eV per atom) = 0.237
- energy of formation from the pure elements (eV/atom) = -0.261
- crystal system = cubic

Unit cell a=4.565 b=4.565 c=4.565 alpha=60.00 beta=60.00 gamma=60.00
Atoms (fractional coordinates):
U (0.000, 0.000, 0.000)
Rh (0.750, 0.750, 0.750)
Ru (0.250, 0.250, 0.250)
Pd (0.500, 0.500, 0.500)

=====

2.
The following is a GGA-PBE calculation of a relaxed Rb2BaPuI8 crystal, from Alexandria via LeMat-Bulk.

Results
- crystal system = triclinic

Unit cell a=7.947 b=8.298 c=10.223 alpha=89.94 beta=90.02 gamma=93.30
Atoms (fractional coordinates):
Ba (0.000, 0.000, 0.500)
I (0.873, 0.216, 0.214)
I (0.127, 0.784, 0.786)
I (0.329, 0.192, 0.001)
I (0.645, 0.762, 0.501)
I (0.671, 0.808, 0.999)
I (0.124, 0.782, 0.214)
I (0.355, 0.238, 0.499)
I (0.876, 0.218, 0.786)
Rb (0.499, 0.498, 0.755)
Rb (0.501, 0.502, 0.245)
Pu (0.000, 0.000, 0.000)

=====

3.
The following is a GGA-PBE calculation of a relaxed YPu2MgSe4 crystal, from Alexandria via LeMat-Bulk.

Results
- crystal system = monoclinic

Unit cell a=4.058 b=7.139 c=7.084 alpha=70.61 beta=90.00 gamma=90.00
Atoms (fractional coordinates):
Mg (0.500, 0.500, 0.000)
Se (0.500, 0.260, 0.753)
Se (0.000, 0.270, 0.235)
Se (0.000, 0.730, 0.765)
Se (0.500, 0.740, 0.247)
Y (0.000, 0.500, 0.500)
Pu (0.000, 0.000, 0.000)
Pu (0.500, 0.000, 0.500)

=====

4.
The following is a GGA-PBE calculation of a relaxed Sm4Ga3Pd crystal, from Alexandria via LeMat-Bulk.

Results
- energy of formation from the pure elements (eV/atom) = -0.629
- crystal system = orthorhombic

Unit cell a=4.006 b=4.396 c=11.372 alpha=90.00 beta=90.00 gamma=90.00
Atoms (fractional coordinates):
Sm (0.000, 0.000, 0.139)
Sm (0.000, 0.500, 0.865)
Sm (0.500, 0.500, 0.350)
Sm (0.500, 0.000, 0.648)
Pd (0.500, 0.500, 0.074)
Ga (0.000, 0.500, 0.572)
Ga (0.000, 0.000, 0.427)
Ga (0.500, 0.000, 0.924)

=====

5.
The following is a GGA-PBE calculation of a relaxed RbLaBi3 crystal, from Alexandria via LeMat-Bulk.

Results
- energy relative to the lowest polymorph listed for this composition (eV per atom) = 0.000
- energy of formation from the pure elements (eV/atom) = -0.052
- crystal system = cubic

Unit cell a=6.252 b=6.252 c=6.252 alpha=90.00 beta=90.00 gamma=90.00
Atoms (fractional coordinates):
Bi (0.000, 0.000, 0.500)
Bi (0.000, 0.500, 0.000)
Bi (0.500, 0.000, 0.000)
La (0.000, 0.000, 0.000)
Rb (0.500, 0.500, 0.500)

=====

6.
The following is a GGA-PBE calculation of a relaxed Hf2In2Sn crystal, from Alexandria via LeMat-Bulk.

Results
- energy relative to the lowest polymorph listed for this composition (eV per atom) = 0.000
- energy of formation from the pure elements (eV/atom) = -0.058
- crystal system = tetragonal

Unit cell a=7.402 b=7.402 c=4.424 alpha=90.00 beta=90.00 gamma=90.00
Atoms (fractional coordinates):
Hf (0.350, 0.850, 0.000)
Hf (0.150, 0.350, 0.000)
Hf (0.850, 0.650, 0.000)
Hf (0.650, 0.150, 0.000)
Sn (0.500, 0.500, 0.000)
Sn (0.000, 0.000, 0.000)
In (0.652, 0.848, 0.500)
In (0.348, 0.152, 0.500)
In (0.152, 0.652, 0.500)
In (0.848, 0.348, 0.500)

=====

7.
The following is a GGA-PBE calculation of a relaxed Al3C crystal, from Alexandria via LeMat-Bulk.

Results
- energy relative to the lowest polymorph listed for this composition (eV per atom) = 0.000
- energy of formation from the pure elements (eV/atom) = 0.025
- crystal system = trigonal

Unit cell a=6.902 b=6.902 c=6.902 alpha=25.65 beta=25.65 gamma=25.65
Atoms (fractional coordinates):
Al (0.719, 0.719, 0.719)
Al (0.500, 0.500, 0.500)
Al (0.281, 0.281, 0.281)
C (0.000, 0.000, 0.000)

=====

8.
The following is a GGA-PBE calculation of a relaxed AcTiSi2 crystal, from Alexandria via LeMat-Bulk.

Results
- crystal system = trigonal

Unit cell a=4.313 b=4.313 c=6.221 alpha=69.72 beta=69.72 gamma=60.00
Atoms (fractional coordinates):
Ti (0.000, 0.000, 0.000)
Si (0.716, 0.716, 0.852)
Si (0.284, 0.284, 0.148)
Ac (0.500, 0.500, 0.500)

=====

Density of states at the Fermi level, record by record: 1.50; 1.08; 2.29; 1.02; 0.96; 0.47; 0.39; 0.87 states/eV per atom
Electronic total energy, record by record: -0.62751; -0.28027; -0.57288; -0.35077; -0.26162; -0.43625; -0.37394; -0.44924 Ry/atom